[1]
Density functional theory data (PBE) for MnAs after structural relaxation.

Computed properties:
Energy of formation from the pure elements = -0.535 eV/f.u.

The structure in POSCAR format:
```
MnAs
1.0
5.550 0.000 0.000
0.000 3.427 0.000
0.000 0.000 6.023
Mn As
4 4
Direct
0.004 0.250 0.189
0.496 0.750 0.689
0.504 0.250 0.311
0.996 0.750 0.811
0.196 0.250 0.582
0.304 0.750 0.082
0.696 0.250 0.918
0.804 0.750 0.418
```


[2]
Density functional theory data (PBE) for ZrSc4 after structural relaxation.

Computed properties:
Energy of formation from the pure elements = 0.107 eV/f.u.

The structure in POSCAR format:
```
ZrSc4
1.0
-3.626 3.626 2.273
3.626 -3.626 2.273
3.626 3.626 -2.273
Zr Sc
1 4
Direct
0.000 0.000 0.000
0.206 0.398 0.604
0.398 0.794 0.191
0.602 0.206 0.809
0.794 0.602 0.396
```


[3]
Density functional theory data (PBE) for Y2TaW after structural relaxation.

Computed properties:
Energy of formation from the pure elements = 2.393 eV/f.u.

The structure in POSCAR format:
```
Y2TaW
1.0
4.191 0.000 0.000
0.000 4.191 0.000
0.000 0.000 5.018
Y Ta W
2 1 1
Direct
0.000 0.500 0.000
0.500 0.000 0.000
0.000 0.000 0.500
0.500 0.500 0.500
```


- Number 1 is which compound?
  MnAs


- Which of these has the highest energy of formation from the pure elements?
  Y2TaW